1.
Entry from the Alexandria database: a relaxed structure of NaBeV2Rh (PBE-GGA).

Computed properties:
Formation enthalpy at 0 K = 3.7 eV/f.u.

abc: 4.744 4.431 4.744
angles: 90.00 90.00 90.00
Sites, in units of the cell vectors:
1 Be 0.000 0.500 0.000
2 Rh 0.000 0.000 0.000
3 V 0.000 0.000 0.500
4 V 0.500 0.000 0.000
5 Na 0.500 0.500 0.500


2.
Entry from the Alexandria database: a relaxed structure of Na2YBeRh (PBE-GGA).

Computed properties:
Formation enthalpy at 0 K = 4.0 eV/f.u.

abc: 4.644 5.507 4.644
angles: 90.00 90.00 90.00
Sites, in units of the cell vectors:
1 Na 0.500 0.000 0.000
2 Na 0.000 0.000 0.500
3 Be 0.000 0.000 0.000
4 Y 0.000 0.500 0.000
5 Rh 0.500 0.500 0.500


3.
Entry from the Alexandria database: a relaxed structure of NaBeRu2 (PBE-GGA).

Computed properties:
Formation enthalpy at 0 K = 3.5 eV/f.u.

abc: 3.979 3.979 9.074
angles: 77.33 77.33 90.00
Sites, in units of the cell vectors:
1 Ru 0.875 0.476 0.750
2 Ru 0.226 0.125 0.250
3 Ru 0.375 0.774 0.750
4 Ru 0.524 0.625 0.250
5 Be 0.500 0.500 0.000
6 Be 0.250 0.750 0.500
7 Na 0.750 0.250 0.500
8 Na 0.000 0.000 0.000


4.
Entry from the Alexandria database: a relaxed structure of NaBe2Ru2 (PBE-GGA).

Computed properties:
Formation enthalpy at 0 K = 1.1 eV/f.u.

abc: 7.360 7.360 2.465
angles: 90.00 90.00 90.00
Sites, in units of the cell vectors:
1 Ru 0.631 0.131 0.000
2 Ru 0.869 0.631 0.000
3 Ru 0.131 0.369 0.000
4 Ru 0.369 0.869 0.000
5 Be 0.840 0.340 0.500
6 Be 0.160 0.660 0.500
7 Be 0.660 0.840 0.500
8 Be 0.340 0.160 0.500
9 Na 0.000 0.000 0.000
10 Na 0.500 0.500 0.000


Which of these has the highest formation enthalpy at 0 K?
Na2YBeRh


Which value of formation enthalpy at 0 K does entry 1 give?
3.7 eV/f.u.